# TeS2I

A geometry-optimized TeS2I structure (GGA-PBEsol, Alexandria via LeMat-Bulk).

a b c (Å): 4.3103 4.3103 22.9157
angles (deg): 90.00 90.00 120.00
Space group R-3m (No. 166, hexagonal axes)
Unique sites:
1 Te 0.0000 0.0000 0.0000 x3
2 S 0.0000 0.0000 0.3859 x6
3 I 0.0000 0.0000 0.5000 x3

=====

# TlTe2SI

A geometry-optimized TlTe2SI structure (GGA-PBEsol, Alexandria via LeMat-Bulk).

a b c (Å): 5.329 5.329 5.396
angles (deg): 90.00 90.00 90.00
Space group P4/mmm (No. 123)
Unique sites:
1 Tl 0.000 0.000 0.000 x1
2 Te 0.000 0.500 0.500 x2
3 S 0.500 0.500 0.500 x1
4 I 0.500 0.500 0.000 x1

=====

# TlSI2

A geometry-optimized TlSI2 structure (GGA-PBEsol, Alexandria via LeMat-Bulk).

a b c (Å): 6.236 6.236 17.286
angles (deg): 90.00 90.00 90.00
Space group I-42d (No. 122)
Unique sites:
1 Tl 0.000 0.000 0.000 x4
2 S 0.000 0.000 0.500 x4
3 I 0.149 0.250 0.625 x8

=====

# WS3I

A geometry-optimized WS3I structure (GGA-PBEsol, Alexandria via LeMat-Bulk).

a b c (Å): 4.957 4.957 4.957
angles (deg): 90.00 90.00 90.00
Space group Pm-3m (No. 221)
Unique sites:
1 W 0.000 0.000 0.000 x1
2 S 0.000 0.500 0.500 x3
3 I 0.500 0.500 0.500 x1

=====

# WSI2

A geometry-optimized WSI2 structure (GGA-PBEsol, Alexandria via LeMat-Bulk).

a b c (Å): 7.213 7.213 8.455
angles (deg): 90.00 90.00 90.00
Space group I-42d (No. 122)
Unique sites:
1 W 0.000 0.000 0.000 x4
2 S 0.000 0.000 0.500 x4
3 I 0.212 0.250 0.125 x8

=====

# Y2SI

A geometry-optimized Y2SI structure (GGA-PBEsol, Alexandria via LeMat-Bulk).

a b c (Å): 7.101 7.101 7.101
angles (deg): 90.00 90.00 90.00
Space group Fm-3m (No. 225)
Unique sites:
1 Y 0.250 0.250 0.250 x8
2 S 0.000 0.000 0.000 x4
3 I 0.000 0.000 0.500 x4

=====

# ZrSI3

A geometry-optimized ZrSI3 structure (GGA-PBEsol, Alexandria via LeMat-Bulk).

a b c (Å): 5.373 5.373 5.373
angles (deg): 90.00 90.00 90.00
Space group Pm-3m (No. 221)
Unique sites:
1 Zr 0.000 0.000 0.000 x1
2 S 0.500 0.500 0.500 x1
3 I 0.000 0.500 0.500 x3

=====

# SbI3

A geometry-optimized SbI3 structure (GGA-PBEsol, Alexandria via LeMat-Bulk).

a b c (Å): 7.347 12.820 7.395
angles (deg): 90.00 109.18 90.00
Space group P2_1/c (No. 14)
Unique sites:
1 Sb 0.001 0.167 0.002 x4
2 I 0.252 0.670 0.250 x4
3 I 0.255 0.171 0.755 x4
4 I 0.261 0.501 0.739 x4

=====

# SbI3

A geometry-optimized SbI3 structure (GGA-PBEsol, Alexandria via LeMat-Bulk).

a b c (Å): 7.4053 7.4053 20.6208
angles (deg): 90.00 90.00 120.00
Space group R-3 (No. 148, hexagonal axes)
Unique sites:
1 Sb 0.0000 0.0000 0.1669 x6
2 I 0.0023 0.3425 0.4141 x18

=====

# ScSb2WI

A geometry-optimized ScSb2WI structure (GGA-PBEsol, Alexandria via LeMat-Bulk).

a b c (Å): 5.130 5.130 5.610
angles (deg): 90.00 90.00 90.00
Space group P4/mmm (No. 123)
Unique sites:
1 Sc 0.000 0.000 0.000 x1
2 Sb 0.000 0.500 0.500 x2
3 W 0.500 0.500 0.500 x1
4 I 0.500 0.500 0.000 x1

=====

# ZrScSbI2

A geometry-optimized ZrScSbI2 structure (GGA-PBEsol, Alexandria via LeMat-Bulk).

a b c (Å): 5.482 5.482 5.693
angles (deg): 90.00 90.00 90.00
Space group P4/mmm (No. 123)
Unique sites:
1 Zr 0.000 0.000 0.000 x1
2 Sc 0.500 0.500 0.500 x1
3 Sb 0.000 0.000 0.500 x1
4 I 0.000 0.500 0.000 x2

=====

# SbSe3I

A geometry-optimized SbSe3I structure (GGA-PBEsol, Alexandria via LeMat-Bulk).

E above lowest polymorph: 0.000 eV/atom

a b c (Å): 5.258 5.258 5.258
angles (deg): 90.00 90.00 90.00
Space group Pm-3m (No. 221)
Unique sites:
1 Sb 0.000 0.000 0.000 x1
2 Se 0.000 0.000 0.500 x3
3 I 0.500 0.500 0.500 x1

=====

Uncorrected energy in eV/atom, matching the order above: -3.3426, -3.0059, -2.4754, -3.8434, -4.2779, -6.1077, -3.1552, -2.7885, -2.7886, -5.5249, -4.6737, -3.0677
Formation energy from raw total energies in eV/atom, matching the order above: 0.173, 0.161, 0.162, 1.902, 1.153, -1.159, 0.600, -0.324, -0.324, 0.734, 0.083, 0.507